This record from Alexandria via LeMat-Bulk describes a relaxed TbZrPt2 crystal. The functional is PBE.

Results
D(E_F) (states/eV/atom): 0.78
Crystal system: monoclinic
Formation enthalpy at 0 K (eV/atom): -1.163

Cell: 4.420 5.525 7.253 Å, 108.71 90.00 90.00°
Positions (direct):
Tb 0.250 0.277 0.071
Tb 0.750 0.723 0.929
Zr 0.750 0.715 0.432
Zr 0.250 0.285 0.568
Pt 0.250 0.828 0.231
Pt 0.750 0.172 0.769
Pt 0.750 0.190 0.319
Pt 0.250 0.810 0.681

=====

This record from Alexandria via LeMat-Bulk describes a relaxed KNi2Se crystal. The functional is PBE.

Results
D(E_F) (states/eV/atom): 0.88
ΔE_f (raw) (eV/atom): -0.1502
Crystal system: monoclinic

Cell: 4.149 4.149 6.221 Å, 70.95 70.95 59.99°
Last column: magnetic moment on the atom in μB.
Positions (direct):
K 0.250 0.250 0.250  0.00
Ni 0.067 0.067 0.799  0.33
Ni 0.433 0.433 0.701  0.33
Se 0.750 0.750 0.750  0.05

=====

This record from Alexandria via LeMat-Bulk describes a relaxed Li2Hg2Sb crystal. The functional is PBE.

Results
ΔE to the lowest computed polymorph (meV per atom): 0
D(E_F) (states/eV/atom): 0.24
ΔE_f (raw) (eV/atom): -0.2782
Crystal system: tetragonal

Cell: 7.982 7.982 3.332 Å, 90.00 90.00 90.00°
Positions (direct):
Sb 0.000 0.000 0.000
Sb 0.500 0.500 0.000
Hg 0.367 0.867 0.000
Hg 0.867 0.633 0.000
Hg 0.633 0.133 0.000
Hg 0.133 0.367 0.000
Li 0.165 0.665 0.500
Li 0.665 0.835 0.500
Li 0.835 0.335 0.500
Li 0.335 0.165 0.500

=====

This record from Alexandria via LeMat-Bulk describes a relaxed MnIn2Pb crystal. The functional is PBE.

Results
D(E_F) (states/eV/atom): 0.69
Crystal system: orthorhombic
Formation enthalpy at 0 K (eV/atom): 0.325

Cell: 3.367 5.447 5.435 Å, 90.00 90.00 90.00°
Last column: magnetic moment on the atom in μB.
Positions (direct):
In 0.000 0.000 0.000  -0.02
In 0.500 0.500 0.000  0.01
Mn 0.500 0.000 0.500  4.01
Pb 0.000 0.500 0.500  -0.04

=====

This record from Alexandria via LeMat-Bulk describes a relaxed Pr4Mg2In crystal. The functional is PBE.

Results
ΔE to the lowest computed polymorph (meV per atom): 183
D(E_F) (states/eV/atom): 1.25
Crystal system: trigonal
Formation enthalpy at 0 K (eV/atom): 0.119

Cell: 5.426 5.426 10.051 Å, 74.34 74.34 60.00°
Positions (direct):
Pr 0.375 0.375 0.876
Pr 0.210 0.210 0.371
Pr 0.790 0.790 0.629
Pr 0.625 0.625 0.124
Mg 0.096 0.096 0.712
Mg 0.904 0.904 0.288
In 0.000 0.000 0.000

=====

This record from Alexandria via LeMat-Bulk describes a relaxed Er7Tl4Hg crystal. The functional is PBE.

Results
D(E_F) (states/eV/atom): 1.09
Crystal system: monoclinic
Formation enthalpy at 0 K (eV/atom): -0.070

Cell: 5.593 9.248 7.819 Å, 80.70 69.04 72.40°
Last column: magnetic moment on the atom in μB.
Positions (direct):
Er 0.786 0.868 0.560  0.10
Er 0.214 0.132 0.440  0.10
Er 0.073 0.680 0.175  0.11
Er 0.927 0.320 0.825  0.11
Er 0.345 0.585 0.725  0.08
Er 0.500 0.000 0.000  0.09
Er 0.655 0.415 0.275  0.08
Tl 0.572 0.221 0.635  0.00
Tl 0.428 0.779 0.365  0.00
Tl 0.711 0.660 0.918  0.00
Tl 0.289 0.340 0.082  0.00
Hg 0.000 0.000 0.000  0.02